CrNiAgO4: relaxed, PBE+U.

## Properties
DFT total energy   -77.53 eV/cell
Space-group type   P2_1/m

```
CrNiAgO4
1.0
-5.208 -1.916 -1.406
1.198 -5.161 2.598
0.550 3.148 5.998
Cr Ni Ag O
2 2 2 8
direct
0.206 0.750 0.331
0.794 0.250 0.669
0.749 0.750 0.535
0.251 0.250 0.465
0.413 0.750 0.909
0.587 0.250 0.091
0.966 0.496 0.713
0.034 0.996 0.287
0.034 0.504 0.287
0.966 0.004 0.713
0.449 0.750 0.234
0.551 0.250 0.766
0.445 0.750 0.607
0.555 0.250 0.393
```